Below is a relaxed structure of AcTe2Au, with properties calculated at the PBE-GGA level.

a b c (Å): 7.0541 8.3995 8.5428
angles (deg): 90.00 90.06 90.00
Space group P2_1/c (No. 14)
Unique sites:
Ac  0.1775  0.0460  0.2504
Te  0.0977  0.7502  0.0000
Te  0.3665  0.0797  0.7503
Au  0.4918  0.2499  0.0006

Values from the calculation:
Uncorrected energy (eV/atom): -4.4827